Density functional theory data (PBE) for a relaxed TbHoCdOs crystal.

It has space group F-43m (No. 216), with a = 7.091 Å, b = 7.091 Å, c = 7.091 Å, α = 90.00°, β = 90.00° and γ = 90.00°. The inequivalent atoms are Tb at (0.000, 0.000, 0.000), Ho at (0.000, 0.000, 0.500), Cd at (0.250, 0.250, 0.750) and Os at (0.250, 0.250, 0.250).

The value obtained for the spin magnetization is 0.0 μB per formula unit. The energy above the most stable polymorph in this dataset comes out at 96 meV per atom. For the formation energy, the calculation gives -0.211 eV/atom. For the calculated density, the calculation gives 11.67 Mg/m³.